The following is a PBE calculation of an optimized crystal structure of HoCd3Pd6, from Alexandria via LeMat-Bulk.

Lattice parameters (Å, degrees): 4.2751 8.7891 9.4323 95.44 90.00 90.00
Sites, in units of the cell vectors:
Ho  0.2500  0.9370  0.6253
Ho  0.7500  0.0630  0.3747
Cd  0.7500  0.4485  0.6023
Cd  0.7500  0.2474  0.0142
Cd  0.2500  0.3447  0.8071
Cd  0.2500  0.5515  0.3977
Cd  0.7500  0.6553  0.1929
Cd  0.2500  0.7526  0.9858
Pd  0.2500  0.0543  0.9109
Pd  0.2500  0.2516  0.5059
Pd  0.7500  0.7484  0.4941
Pd  0.7500  0.5463  0.8998
Pd  0.2500  0.1535  0.2065
Pd  0.2500  0.8497  0.2962
Pd  0.2500  0.4537  0.1002
Pd  0.2500  0.6360  0.6985
Pd  0.7500  0.9457  0.0891
Pd  0.7500  0.8465  0.7935
Pd  0.7500  0.3640  0.3015
Pd  0.7500  0.1503  0.7038

SG = P2_1/m, No. 11
energy above the lowest structure with this stoichiometry = 0.00 eV/f.u.
uncorrected energy = -87.70 eV/cell
density of states at the Fermi level = 6.0 states/eV/cell
ΔE_f = -0.537 eV per atom

***

The following is a PBE calculation of an optimized crystal structure of HoCdPd, from Alexandria via LeMat-Bulk.

Lattice parameters (Å, degrees): 5.0494 5.0494 5.8135 90.00 90.00 119.97
Sites, in units of the cell vectors:
Cd  0.0000  0.5000  0.5000
Cd  0.0000  0.5000  0.0000
Ho  0.3334  0.1666  0.2500
Ho  0.6666  0.8334  0.7500
Pd  0.6668  0.8332  0.2500
Pd  0.3332  0.1668  0.7500

SG = P6_3/mmc, No. 194
uncorrected energy = -25.28 eV/cell
density of states at the Fermi level = 3.5 states/eV/cell
ΔE_f = -0.652 eV per atom

***

The following is a PBE calculation of an optimized crystal structure of Ho3Cd4Pd4, from Alexandria via LeMat-Bulk.

Lattice parameters (Å, degrees): 3.6872 8.0677 9.1501 116.16 101.62 90.00
Sites, in units of the cell vectors:
Pd  0.5000  0.1978  0.0000
Pd  0.2546  0.7546  0.5091
Pd  0.5000  0.8022  0.0000
Pd  0.7454  0.2454  0.4909
Ho  0.1085  0.1085  0.2171
Ho  0.0000  0.5000  0.0000
Ho  0.8915  0.8915  0.7829
Cd  0.6647  0.8508  0.3295
Cd  0.6647  0.4787  0.3295
Cd  0.3353  0.1492  0.6705
Cd  0.3353  0.5213  0.6705

SG = Immm, No. 71
uncorrected energy = -44.62 eV/cell
density of states at the Fermi level = 6.5 states/eV/cell
ΔE_f = -0.586 eV per atom

***

The following is a PBE calculation of an optimized crystal structure of Ho2Cd2Pd3, from Alexandria via LeMat-Bulk.

Lattice parameters (Å, degrees): 4.8742 4.8089 7.8035 88.90 108.07 120.12
Sites, in units of the cell vectors:
Pd  0.0000  0.0000  0.0000
Pd  0.4750  0.7293  0.2297
Pd  0.5250  0.2707  0.7703
Ho  0.7690  0.3807  0.1616
Ho  0.2310  0.6193  0.8384
Cd  0.2547  0.1196  0.3929
Cd  0.7453  0.8804  0.6071

SG = P-1, No. 2
energy above the lowest structure with this stoichiometry = 0.00 eV/f.u.
uncorrected energy = -31.41 eV/cell
density of states at the Fermi level = 3.6 states/eV/cell
ΔE_f = -0.693 eV per atom

***

The following is a PBE calculation of an optimized crystal structure of HoCd3Pd2, from Alexandria via LeMat-Bulk.

Lattice parameters (Å, degrees): 3.9063 7.2092 8.8802 90.00 90.00 90.00
Sites, in units of the cell vectors:
Cd  0.0000  0.8693  0.6900
Cd  0.5000  0.1384  0.8176
Cd  0.0000  0.3693  0.3100
Cd  0.0000  0.4551  0.9179
Cd  0.5000  0.6384  0.1824
Cd  0.0000  0.9551  0.0821
Pd  0.0000  0.2501  0.6051
Pd  0.5000  0.7474  0.8879
Pd  0.0000  0.7501  0.3949
Pd  0.5000  0.2474  0.1121
Ho  0.5000  0.5397  0.5929
Ho  0.5000  0.0397  0.4071

SG = Pmc2_1, No. 26
uncorrected energy = -41.28 eV/cell
density of states at the Fermi level = 3.8 states/eV/cell
ΔE_f = -0.489 eV per atom

***

The following is a PBE calculation of an optimized crystal structure of HoCd2Pd9, from Alexandria via LeMat-Bulk.

Lattice parameters (Å, degrees): 4.0539 4.0539 12.2221 90.00 90.00 90.00
Sites, in units of the cell vectors:
Pd  0.5000  0.5000  0.6660
Pd  0.0000  0.5000  0.1705
Pd  0.5000  0.5000  0.3340
Pd  0.5000  0.0000  0.5000
Pd  0.0000  0.5000  0.5000
Pd  0.5000  0.0000  0.8295
Pd  0.5000  0.5000  0.0000
Pd  0.5000  0.0000  0.1705
Pd  0.0000  0.5000  0.8295
Cd  0.0000  0.0000  0.6631
Cd  0.0000  0.0000  0.3369
Ho  0.0000  0.0000  0.0000

SG = P4/mmm, No. 123
uncorrected energy = -58.51 eV/cell
density of states at the Fermi level = 15.4 states/eV/cell
ΔE_f = -0.447 eV per atom

***

The following is a PBE calculation of an optimized crystal structure of HoCdPd2, from Alexandria via LeMat-Bulk.

Lattice parameters (Å, degrees): 3.4668 4.7077 4.7077 90.00 90.00 90.00
Sites, in units of the cell vectors:
Cd  0.5000  0.0000  0.0000
Ho  0.5000  0.5000  0.5000
Pd  0.0000  0.5000  0.0000
Pd  0.0000  0.0000  0.5000

SG = P4/mmm, No. 123
energy above the lowest structure with this stoichiometry = 0.28 eV/f.u.
uncorrected energy = -18.60 eV/cell
density of states at the Fermi level = 1.5 states/eV/cell
ΔE_f = -0.681 eV per atom

***

The following is a PBE calculation of an optimized crystal structure of HoCd3Pd6, from Alexandria via LeMat-Bulk.

Lattice parameters (Å, degrees): 5.3537 8.6737 8.6737 112.18 90.00 90.00
Sites, in units of the cell vectors:
Pd  0.5760  0.2579  0.4310
Pd  0.8201  0.0001  0.9999
Pd  0.0725  0.7532  0.2468
Pd  0.3201  0.9999  0.0001
Pd  0.3209  0.4997  0.9982
Pd  0.5760  0.5690  0.7421
Pd  0.0760  0.7421  0.5690
Pd  0.8209  0.5003  0.0018
Pd  0.5725  0.2468  0.7532
Pd  0.3209  0.0018  0.5003
Pd  0.8209  0.9982  0.4997
Pd  0.0760  0.4310  0.2579
Cd  0.0700  0.1217  0.2928
Cd  0.0876  0.4152  0.5848
Cd  0.5700  0.8783  0.7072
Cd  0.0700  0.7072  0.8783
Cd  0.5876  0.5848  0.4152
Cd  0.5700  0.2928  0.1217
Ho  0.5713  0.8265  0.1735
Ho  0.0713  0.1735  0.8265

SG = Cmc2_1, No. 36
energy above the lowest structure with this stoichiometry = 1.34 eV/f.u.
uncorrected energy = -85.02 eV/cell
density of states at the Fermi level = 8.2 states/eV/cell
ΔE_f = -0.403 eV per atom

***

The following is a PBE calculation of an optimized crystal structure of Ho4CdPd15, from Alexandria via LeMat-Bulk.

Lattice parameters (Å, degrees): 4.0868 4.0868 20.5588 90.00 90.00 90.00
Sites, in units of the cell vectors:
Ho  0.0000  0.0000  0.1974
Ho  0.0000  0.0000  0.8026
Ho  0.0000  0.0000  0.3994
Ho  0.0000  0.0000  0.6006
Pd  0.5000  0.0000  0.9023
Pd  0.0000  0.5000  0.2986
Pd  0.5000  0.5000  0.0000
Pd  0.5000  0.5000  0.1984
Pd  0.5000  0.5000  0.6011
Pd  0.5000  0.5000  0.8016
Pd  0.5000  0.5000  0.3989
Pd  0.0000  0.5000  0.7014
Pd  0.0000  0.5000  0.9023
Pd  0.5000  0.0000  0.0977
Pd  0.5000  0.0000  0.7014
Pd  0.0000  0.5000  0.5000
Pd  0.0000  0.5000  0.0977
Pd  0.5000  0.0000  0.2986
Pd  0.5000  0.0000  0.5000
Cd  0.0000  0.0000  0.0000

SG = P4/mmm, No. 123
uncorrected energy = -112.30 eV/cell
density of states at the Fermi level = 19.3 states/eV/cell
ΔE_f = -0.759 eV per atom

***

The following is a PBE calculation of an optimized crystal structure of HoCd4Pd15, from Alexandria via LeMat-Bulk.

Lattice parameters (Å, degrees): 4.0542 4.0542 20.1824 90.00 90.00 90.00
Sites, in units of the cell vectors:
Pd  0.0000  0.5000  0.3026
Pd  0.5000  0.0000  0.5000
Pd  0.0000  0.5000  0.5000
Pd  0.5000  0.0000  0.8968
Pd  0.0000  0.5000  0.6974
Pd  0.5000  0.0000  0.6974
Pd  0.5000  0.5000  0.2027
Pd  0.5000  0.5000  0.7973
Pd  0.5000  0.5000  0.5984
Pd  0.5000  0.0000  0.1032
Pd  0.0000  0.5000  0.1032
Pd  0.5000  0.5000  0.0000
Pd  0.5000  0.0000  0.3026
Pd  0.0000  0.5000  0.8968
Pd  0.5000  0.5000  0.4016
Cd  0.0000  0.0000  0.4010
Cd  0.0000  0.0000  0.5990
Cd  0.0000  0.0000  0.2035
Cd  0.0000  0.0000  0.7965
Ho  0.0000  0.0000  0.0000

SG = P4/mmm, No. 123
uncorrected energy = -93.44 eV/cell
density of states at the Fermi level = 24.3 states/eV/cell
ΔE_f = -0.366 eV per atom

***

The following is a PBE calculation of an optimized crystal structure of HoCd2Pd6, from Alexandria via LeMat-Bulk.

Lattice parameters (Å, degrees): 4.6940 7.8598 6.3848 127.99 111.96 90.00
Sites, in units of the cell vectors:
Pd  0.1734  0.4811  0.3477
Pd  0.8266  0.5189  0.6523
Pd  0.5000  0.1954  0.0000
Pd  0.5000  0.8046  0.0000
Pd  0.1734  0.8666  0.3477
Pd  0.8266  0.1334  0.6523
Cd  0.6575  0.6587  0.3173
Cd  0.3425  0.3413  0.6827
Ho  0.0000  0.0000  0.0000

SG = C2/m, No. 12
uncorrected energy = -41.08 eV/cell
density of states at the Fermi level = 2.8 states/eV/cell
ΔE_f = -0.391 eV per atom

***

The following is a PBE calculation of an optimized crystal structure of HoCdPd, from Alexandria via LeMat-Bulk.

Lattice parameters (Å, degrees): 3.4500 4.7012 4.7012 120.00 90.00 90.00
Sites, in units of the cell vectors:
Cd  0.1670  0.0000  0.0000
Pd  0.1662  0.3333  0.6667
Ho  0.6668  0.6667  0.3333

SG = P-6m2, No. 187
uncorrected energy = -12.32 eV/cell
density of states at the Fermi level = 2.5 states/eV/cell
ΔE_f = -0.545 eV per atom